No. 1
Entry from the Alexandria database: a relaxed structure of Tm6Ga2Au (PBE-GGA).

Computed properties:
* Fermi-level density of states: 20.31 states/eV per cell

Unit cell a=6.186 b=8.106 c=9.453 alpha=90.00 beta=85.65 gamma=90.00
Atoms (fractional coordinates):
Tm1 0.890 0.689 0.938
Tm2 0.863 0.961 0.224
Tm3 0.862 0.662 0.561
Tm4 0.637 0.461 0.276
Tm5 0.638 0.162 0.939
Tm6 0.390 0.811 0.438
Tm7 0.363 0.539 0.724
Tm8 0.138 0.338 0.439
Tm9 0.610 0.189 0.562
Tm10 0.110 0.311 0.062
Tm11 0.137 0.039 0.776
Tm12 0.362 0.838 0.061
Au1 0.500 0.500 0.000
Au2 0.000 0.000 0.500
Ga1 0.568 0.873 0.746
Ga2 0.432 0.127 0.254
Ga3 0.068 0.627 0.246
Ga4 0.932 0.373 0.754

---

No. 2
Entry from the Alexandria database: a relaxed structure of Tm8GaAu2 (PBE-GGA).

Computed properties:
* Fermi-level density of states: 8.50 states/eV per cell

Unit cell a=5.031 b=6.818 c=9.116 alpha=106.15 beta=106.02 gamma=90.00
Atoms (fractional coordinates):
Ga1 0.500 0.000 0.000
Tm1 0.199 0.316 0.399
Tm2 0.668 0.973 0.336
Tm3 0.332 0.027 0.664
Tm4 0.407 0.542 0.814
Tm5 0.593 0.458 0.186
Tm6 0.801 0.684 0.601
Tm7 0.971 0.220 0.941
Tm8 0.029 0.780 0.059
Au1 0.816 0.281 0.632
Au2 0.184 0.719 0.368

---

No. 3
Entry from the Alexandria database: a relaxed structure of Tm3Ga7Au2 (PBE-GGA).

Computed properties:
* Fermi-level density of states: 4.60 states/eV per cell

Unit cell a=4.168 b=4.204 c=13.736 alpha=98.74 beta=90.00 gamma=90.00
Atoms (fractional coordinates):
Tm1 0.000 0.184 0.369
Tm2 0.500 0.500 0.000
Tm3 0.000 0.816 0.631
Au1 0.500 0.634 0.273
Au2 0.500 0.366 0.727
Ga1 0.500 0.922 0.842
Ga2 0.500 0.272 0.545
Ga3 0.000 0.581 0.157
Ga4 0.000 0.419 0.843
Ga5 0.500 0.078 0.158
Ga6 0.500 0.728 0.455
Ga7 0.000 0.000 0.000

---

No. 4
Entry from the Alexandria database: a relaxed structure of Tm5Ga2Au (PBE-GGA).

Computed properties:
* Fermi-level density of states: 11.02 states/eV per cell

Unit cell a=7.375 b=7.375 c=8.922 alpha=114.41 beta=114.41 gamma=90.00
Atoms (fractional coordinates):
Ga1 0.623 0.123 0.000
Ga2 0.877 0.623 0.000
Ga3 0.123 0.377 0.000
Ga4 0.377 0.877 0.000
Au1 0.250 0.250 0.500
Au2 0.750 0.750 0.500
Tm1 0.682 0.182 0.705
Tm2 0.818 0.977 0.295
Tm3 0.182 0.023 0.705
Tm4 0.023 0.523 0.705
Tm5 0.523 0.682 0.705
Tm6 0.000 0.000 0.000
Tm7 0.318 0.818 0.295
Tm8 0.977 0.477 0.295
Tm9 0.477 0.318 0.295
Tm10 0.500 0.500 0.000

---

No. 5
Entry from the Alexandria database: a relaxed structure of TmGa4Au12 (PBE-GGA).

Computed properties:
* Fermi-level density of states: 5.98 states/eV per cell

Unit cell a=7.763 b=7.763 c=7.763 alpha=109.47 beta=109.47 gamma=109.47
Atoms (fractional coordinates):
Au1 0.153 0.341 0.495
Au2 0.505 0.847 0.659
Au3 0.341 0.495 0.153
Au4 0.659 0.505 0.847
Au5 0.341 0.188 0.847
Au6 0.847 0.659 0.505
Au7 0.153 0.659 0.812
Au8 0.659 0.812 0.153
Au9 0.847 0.341 0.188
Au10 0.495 0.153 0.341
Au11 0.188 0.847 0.341
Au12 0.812 0.153 0.659
Tm1 0.000 0.000 0.000
Ga1 0.500 0.500 0.500
Ga2 0.000 0.500 0.000
Ga3 0.500 0.000 0.000
Ga4 0.000 0.000 0.500

---

No. 6
Entry from the Alexandria database: a relaxed structure of Tm2Ga2Au3 (PBE-GGA).

Computed properties:
* Fermi-level density of states: 6.94 states/eV per cell

Unit cell a=4.031 b=7.326 c=10.096 alpha=90.00 beta=101.52 gamma=90.00
Atoms (fractional coordinates):
Ga1 0.310 0.450 0.620
Ga2 0.690 0.550 0.380
Ga3 0.690 0.950 0.380
Ga4 0.310 0.050 0.620
Au1 0.773 0.250 0.546
Au2 0.435 0.556 0.871
Au3 0.565 0.056 0.129
Au4 0.227 0.750 0.454
Au5 0.565 0.444 0.129
Au6 0.435 0.944 0.871
Tm1 0.153 0.250 0.306
Tm2 0.847 0.750 0.694
Tm3 0.946 0.250 0.891
Tm4 0.054 0.750 0.109

---

No. 7
Entry from the Alexandria database: a relaxed structure of TmGa2Au (PBE-GGA).

Computed properties:
* Fermi-level density of states: 0.43 states/eV per cell

Unit cell a=4.244 b=4.260 c=4.260 alpha=90.00 beta=90.00 gamma=90.00
Atoms (fractional coordinates):
Ga1 0.000 0.500 0.000
Ga2 0.000 0.000 0.500
Tm1 0.500 0.500 0.500
Au1 0.500 0.000 0.000

---

No. 8
Entry from the Alexandria database: a relaxed structure of Tm3GaAu2 (PBE-GGA).

Computed properties:
* Fermi-level density of states: 3.46 states/eV per cell

Unit cell a=3.524 b=3.524 c=10.778 alpha=90.00 beta=90.00 gamma=90.00
Atoms (fractional coordinates):
Au1 0.500 0.500 0.171
Au2 0.500 0.500 0.829
Tm1 0.000 0.000 0.667
Tm2 0.000 0.000 0.333
Tm3 0.000 0.000 0.000
Ga1 0.500 0.500 0.500

---

No. 9
Entry from the Alexandria database: a relaxed structure of Tm3Ga4Au (PBE-GGA).

Computed properties:
* Fermi-level density of states: 5.26 states/eV per cell

Unit cell a=3.523 b=6.062 c=9.060 alpha=109.55 beta=101.21 gamma=90.00
Atoms (fractional coordinates):
Tm1 0.000 0.500 0.000
Tm2 0.778 0.778 0.555
Tm3 0.222 0.222 0.445
Ga1 0.379 0.154 0.758
Ga2 0.379 0.604 0.758
Ga3 0.621 0.396 0.242
Ga4 0.621 0.846 0.242
Au1 0.500 0.000 0.000

---

No. 10
Entry from the Alexandria database: a relaxed structure of TmGa2Au4 (PBE-GGA).

Computed properties:
* Fermi-level density of states: 10.67 states/eV per cell

Unit cell a=4.409 b=6.898 c=17.626 alpha=90.00 beta=90.00 gamma=90.00
Atoms (fractional coordinates):
Ga1 0.250 0.768 0.040
Ga2 0.750 0.232 0.960
Ga3 0.750 0.997 0.226
Ga4 0.250 0.497 0.274
Ga5 0.250 0.732 0.540
Ga6 0.250 0.003 0.774
Ga7 0.750 0.503 0.726
Ga8 0.750 0.268 0.460
Au1 0.250 0.211 0.177
Au2 0.250 0.366 0.029
Au3 0.750 0.998 0.078
Au4 0.750 0.789 0.823
Au5 0.250 0.134 0.529
Au6 0.250 0.002 0.922
Au7 0.250 0.498 0.422
Au8 0.250 0.289 0.677
Au9 0.250 0.707 0.687
Au10 0.750 0.207 0.813
Au11 0.750 0.293 0.313
Au12 0.750 0.634 0.971
Au13 0.750 0.502 0.578
Au14 0.750 0.866 0.471
Au15 0.750 0.711 0.323
Au16 0.250 0.793 0.187
Tm1 0.750 0.509 0.141
Tm2 0.250 0.009 0.359
Tm3 0.250 0.491 0.859
Tm4 0.750 0.991 0.641

---

No. 11
Entry from the Alexandria database: a relaxed structure of TmGa2Au8 (PBE-GGA).

Computed properties:
* Fermi-level density of states: 3.09 states/eV per cell

Unit cell a=4.034 b=6.944 c=7.848 alpha=105.97 beta=104.89 gamma=90.00
Atoms (fractional coordinates):
Au1 0.322 0.103 0.644
Au2 0.610 0.454 0.220
Au3 0.963 0.284 0.926
Au4 0.857 0.818 0.715
Au5 0.143 0.182 0.285
Au6 0.037 0.716 0.074
Au7 0.678 0.897 0.356
Au8 0.390 0.546 0.780
Ga1 0.222 0.661 0.445
Ga2 0.778 0.339 0.555
Tm1 0.500 0.000 0.000

---

No. 12
Entry from the Alexandria database: a relaxed structure of Tm7Ga2Au2 (PBE-GGA).

Computed properties:
* Fermi-level density of states: 11.30 states/eV per cell

Unit cell a=6.620 b=7.194 c=6.620 alpha=89.99 beta=108.83 gamma=90.01
Atoms (fractional coordinates):
Ga1 0.830 0.500 0.830
Ga2 0.170 0.500 0.170
Tm1 0.500 0.737 0.500
Tm2 0.500 0.263 0.500
Tm3 0.500 0.725 0.000
Tm4 0.000 0.275 0.500
Tm5 0.000 0.000 0.000
Tm6 0.000 0.725 0.500
Tm7 0.500 0.275 0.000
Au1 0.708 0.000 0.292
Au2 0.292 0.000 0.708

---

No. 13
Entry from the Alexandria database: a relaxed structure of Tm2Ga8Au (PBE-GGA).

Computed properties:
* Fermi-level density of states: 3.57 states/eV per cell

Unit cell a=4.360 b=4.360 c=11.173 alpha=90.00 beta=90.00 gamma=90.00
Atoms (fractional coordinates):
Ga1 0.500 0.000 0.500
Ga2 0.500 0.500 0.690
Ga3 0.000 0.500 0.864
Ga4 0.500 0.500 0.310
Ga5 0.000 0.500 0.136
Ga6 0.500 0.000 0.136
Ga7 0.500 0.000 0.864
Ga8 0.000 0.500 0.500
Tm1 0.000 0.000 0.314
Tm2 0.000 0.000 0.686
Au1 0.000 0.000 0.000

---

No. 14
Entry from the Alexandria database: a relaxed structure of TmGa3Au3 (PBE-GGA).

Computed properties:
* Fermi-level density of states: 8.55 states/eV per cell

Unit cell a=7.011 b=7.011 c=7.011 alpha=90.00 beta=90.00 gamma=90.00
Atoms (fractional coordinates):
Au1 0.500 0.250 0.000
Au2 0.750 0.000 0.500
Au3 0.000 0.500 0.250
Au4 0.250 0.000 0.500
Au5 0.500 0.750 0.000
Au6 0.000 0.500 0.750
Ga1 0.000 0.750 0.500
Ga2 0.250 0.500 0.000
Ga3 0.500 0.000 0.750
Ga4 0.750 0.500 0.000
Ga5 0.000 0.250 0.500
Ga6 0.500 0.000 0.250
Tm1 0.000 0.000 0.000
Tm2 0.500 0.500 0.500

---

No. 15
Entry from the Alexandria database: a relaxed structure of Tm3Ga3Au (PBE-GGA).

Computed properties:
* Fermi-level density of states: 6.11 states/eV per cell

Unit cell a=4.361 b=5.725 c=13.477 alpha=84.22 beta=80.69 gamma=67.61
Atoms (fractional coordinates):
Ga1 0.020 0.186 0.774
Ga2 0.129 0.283 0.460
Ga3 0.871 0.717 0.540
Ga4 0.889 0.147 0.075
Ga5 0.980 0.814 0.226
Ga6 0.111 0.853 0.925
Tm1 0.605 0.714 0.075
Tm2 0.534 0.311 0.621
Tm3 0.736 0.753 0.775
Tm4 0.395 0.286 0.925
Tm5 0.466 0.689 0.379
Tm6 0.264 0.247 0.225
Au1 0.754 0.107 0.385
Au2 0.246 0.893 0.615

---

No. 16
Entry from the Alexandria database: a relaxed structure of TmGa8Au2 (PBE-GGA).

Computed properties:
* Fermi-level density of states: 4.58 states/eV per cell

Unit cell a=4.554 b=8.698 c=8.698 alpha=37.91 beta=83.71 gamma=83.71
Atoms (fractional coordinates):
Ga1 0.017 0.417 0.417
Ga2 0.906 0.193 0.193
Ga3 0.540 0.137 0.658
Ga4 0.983 0.583 0.583
Ga5 0.460 0.863 0.342
Ga6 0.540 0.658 0.137
Ga7 0.094 0.807 0.807
Ga8 0.460 0.342 0.863
Au1 0.366 0.270 0.270
Au2 0.634 0.730 0.730
Tm1 0.000 0.000 0.000

---

No. 17
Entry from the Alexandria database: a relaxed structure of TmGa3Au (PBE-GGA).

Computed properties:
* Fermi-level density of states: 3.93 states/eV per cell

Unit cell a=4.076 b=4.139 c=12.197 alpha=99.77 beta=90.00 gamma=90.00
Atoms (fractional coordinates):
Ga1 0.000 0.724 0.448
Ga2 0.000 0.052 0.104
Ga3 0.500 0.552 0.103
Ga4 0.000 0.948 0.896
Ga5 0.000 0.276 0.552
Ga6 0.500 0.448 0.897
Tm1 0.500 0.171 0.343
Tm2 0.500 0.829 0.657
Au1 0.000 0.380 0.759
Au2 0.000 0.620 0.241

---

No. 18
Entry from the Alexandria database: a relaxed structure of TmGa2Au3 (PBE-GGA).

Computed properties:
* Fermi-level density of states: 5.09 states/eV per cell

Unit cell a=4.145 b=8.794 c=10.457 alpha=106.33 beta=90.00 gamma=103.63
Atoms (fractional coordinates):
Ga1 0.360 0.721 0.553
Ga2 0.461 0.922 0.226
Ga3 0.640 0.279 0.447
Ga4 0.196 0.393 0.123
Ga5 0.804 0.607 0.877
Ga6 0.539 0.078 0.774
Au1 0.326 0.651 0.052
Au2 0.775 0.550 0.624
Au3 0.043 0.086 0.327
Au4 0.674 0.349 0.948
Au5 0.500 0.000 0.500
Au6 0.607 0.215 0.170
Au7 0.393 0.785 0.830
Au8 0.225 0.450 0.376
Au9 0.957 0.914 0.673
Tm1 0.848 0.696 0.312
Tm2 0.000 0.000 0.000
Tm3 0.152 0.304 0.688

---

No. 19
Entry from the Alexandria database: a relaxed structure of Tm3Ga2Au (PBE-GGA).

Computed properties:
* Fermi-level density of states: 3.98 states/eV per cell

Unit cell a=3.553 b=3.553 c=10.521 alpha=90.00 beta=90.00 gamma=90.00
Atoms (fractional coordinates):
Au1 0.500 0.500 0.500
Ga1 0.500 0.500 0.165
Ga2 0.500 0.500 0.835
Tm1 0.000 0.000 0.000
Tm2 0.000 0.000 0.667
Tm3 0.000 0.000 0.333

---

No. 20
Entry from the Alexandria database: a relaxed structure of Tm2Ga3Au2 (PBE-GGA).

Computed properties:
* Fermi-level density of states: 1.81 states/eV per cell

Unit cell a=4.328 b=5.672 c=6.676 alpha=111.60 beta=90.00 gamma=112.43
Atoms (fractional coordinates):
Ga1 0.596 0.191 0.428
Ga2 0.404 0.809 0.572
Ga3 0.500 0.000 0.000
Tm1 0.147 0.293 0.778
Tm2 0.853 0.707 0.222
Au1 0.843 0.686 0.761
Au2 0.157 0.314 0.239

---

E_tot (eV per atom)
-4.39 -4.57 -3.97 -4.53 -3.34 -4.21 -4.02 -4.62 -4.02 -3.84 -3.65 -4.30 -3.71 -3.33 -4.38 -3.42 -3.83 -3.88 -4.45 -4.17
ΔH_f (0 K) (meV/atom)
-373.0 -448.6 -539.3 -564.0 -50.5 -658.2 -565.9 -788.7 -420.6 -465.3 -309.0 -312.4 -399.2 15.2 -694.7 -216.8 -460.1 -484.0 -663.8 -654.8